{
  "formula": "ZnNi4Pt7",
  "functional": "PBE",
  "state": "relaxed",
  "lattice_angstrom": [[4.945, -2.346, 0.000], [4.945, 2.346, 0.000], [-4.754, 0.000, 7.964]],
  "species": ["Zn", "Ni", "Ni", "Ni", "Ni", "Pt", "Pt", "Pt", "Pt", "Pt", "Pt", "Pt"],
  "frac_coords": [[0.000, 0.000, 0.000], [0.276, 0.276, 0.688], [0.428, 0.428, 0.231], [0.572, 0.572, 0.769], [0.724, 0.724, 0.312], [0.045, 0.045, 0.380], [0.205, 0.205, 0.918], [0.345, 0.345, 0.451], [0.500, 0.500, 0.000], [0.655, 0.655, 0.549], [0.795, 0.795, 0.082], [0.955, 0.955, 0.620]],
  "space_group": "C2/m (12)",
  "formation_energy_ev_per_atom": 0.1252,
  "total_energy_ev_per_cell": -65.2
}